A geometry-optimized Sr3InO structure. Source: Alexandria via LeMat-Bulk, functional PBE-GGA.

Calculated values
E_tot (eV/atom): -3.759
Space-group type: P-1, No. 2

a = 7.8811 Å, b = 3.9956 Å, c = 12.0175 Å
α = 80.44°, β = 105.92°, γ = 104.67°
Last column: nearest neighbours and their distance in Å.
Fractional positions:
Sr 0.5388 0.7833 0.5141  4 In 3.49, 1 Sr 3.89
Sr 0.0939 0.1993 0.2349  2 O 2.43
Sr 0.0976 0.8494 0.9401  2 O 2.39-2.40
Sr 0.5056 0.9435 0.1588  2 O 2.39-2.40
Sr 0.5092 0.5936 0.8641  2 O 2.43
Sr 0.0642 0.0097 0.5849  4 In 3.49, 1 Sr 3.89
In 0.8114 0.3124 0.7285  8 Sr 3.49-3.70
In 0.7916 0.4810 0.3706  8 Sr 3.49-3.70
O 0.4149 0.0036 0.9497  4 Sr 2.39-2.43
O 0.1883 0.7893 0.1492  4 Sr 2.39-2.43

=====

A geometry-optimized Cs2RbLaBr6 structure. Source: Alexandria via LeMat-Bulk, functional PBE-GGA.

Calculated values
E_tot (eV/atom): -3.633
Space-group type: Fm-3m, No. 225

a = 8.7789 Å, b = 8.7789 Å, c = 8.7786 Å
α = 60.00°, β = 60.00°, γ = 90.00°
Last column: nearest neighbours and their distance in Å.
Fractional positions:
Br 0.7642 0.2358 0.0000  1 La 2.93
Br 0.7642 0.7642 0.4717  1 La 2.93
Br 0.2358 0.7642 0.0000  1 La 2.93
Br 0.2358 0.2358 0.5283  1 La 2.93
Br 0.2358 0.2358 0.0000  1 La 2.93
Br 0.7642 0.7642 0.0000  1 La 2.93
Rb 0.5000 0.5000 0.0000  6 Br 3.28
La 0.0000 0.0000 0.0000  6 Br 2.93
Cs 0.7500 0.2500 0.5000  12 Br 4.39
Cs 0.2500 0.7500 0.5000  12 Br 4.39

=====

A geometry-optimized HfIrN3 structure. Source: Alexandria via LeMat-Bulk, functional PBE-GGA.

Calculated values
E_tot (eV/atom): -7.413
Space-group type: Pm-3m, No. 221

a = 4.0914 Å, b = 4.0914 Å, c = 4.0914 Å
α = 90.00°, β = 90.00°, γ = 90.00°
Last column: nearest neighbours and their distance in Å.
Fractional positions:
N 0.5000 0.0000 0.0000  2 Hf 2.05
N 0.0000 0.5000 0.0000  2 Hf 2.05
N 0.0000 0.0000 0.5000  2 Hf 2.05
Hf 0.0000 0.0000 0.0000  6 N 2.05
Ir 0.5000 0.5000 0.5000  12 N 2.89

=====

A geometry-optimized LaEuIrPd structure. Source: Alexandria via LeMat-Bulk, functional PBE-GGA.

Calculated values
E_form (eV per atom): -0.61
Space-group type: F-43m, No. 216

a = 5.0814 Å, b = 5.0814 Å, c = 5.0814 Å
α = 60.00°, β = 60.00°, γ = 60.00°
Last column: nearest neighbours and their distance in Å.
Fractional positions:
La 0.2500 0.2500 0.2500  4 Ir 3.11, 4 Pd 3.11
Ir 0.0000 0.0000 0.0000  4 Eu 3.11, 4 La 3.11
Pd 0.5000 0.5000 0.5000  4 La 3.11, 4 Eu 3.11
Eu 0.7500 0.7500 0.7500  4 Pd 3.11, 4 Ir 3.11

=====

A geometry-optimized MgPCl3 structure. Source: Alexandria via LeMat-Bulk, functional PBE-GGA.

Calculated values
E_tot (eV/atom): -3.081
Space-group type: P6_3/mmc, No. 194

a = 8.6154 Å, b = 8.6154 Å, c = 3.9114 Å
α = 90.00°, β = 90.00°, γ = 120.00°
Last column: nearest neighbours and their distance in Å.
Fractional positions:
P 0.0000 0.0000 0.5000  2 P 1.96
P 0.0000 0.0000 0.0000  2 P 1.96
Cl 0.7880 0.2120 0.7500  2 Mg 2.66
Cl 0.5759 0.7880 0.2500  2 Mg 2.66
Cl 0.7880 0.5759 0.7500  2 Mg 2.66
Cl 0.4241 0.2120 0.7500  2 Mg 2.66
Cl 0.2120 0.7880 0.2500  2 Mg 2.66
Cl 0.2120 0.4241 0.2500  2 Mg 2.66
Mg 0.6667 0.3333 0.2500  6 Cl 2.66
Mg 0.3333 0.6667 0.7500  6 Cl 2.66

=====

A geometry-optimized TaTcRu4 structure. Source: Alexandria via LeMat-Bulk, functional PBE-GGA.

Calculated values
E_form (eV per atom): 0.20
Space-group type: F-43m, No. 216

a = 5.0580 Å, b = 5.0580 Å, c = 5.0580 Å
α = 60.00°, β = 60.00°, γ = 60.00°
Last column: nearest neighbours and their distance in Å.
Fractional positions:
Ru 0.3745 0.3745 0.3745  6 Ru 2.52-2.54
Ru 0.3745 0.3745 0.8764  6 Ru 2.52-2.54
Ru 0.3745 0.8764 0.3745  6 Ru 2.52-2.54
Ru 0.8764 0.3745 0.3745  6 Ru 2.52-2.54
Ta 0.7500 0.7500 0.7500  12 Ru 2.97, 4 Tc 3.10
Tc 0.0000 0.0000 0.0000  12 Ru 2.96, 4 Ta 3.10